No. 1
First-principles (PBE-GGA) data for Sm2YSe2O2 after structural relaxation, as listed in Alexandria via LeMat-Bulk.

Properties
Uncorrected formation energy: -2.31 eV/atom

```
data_Sm2YSe2O2
_cell_length_a 4.309
_cell_length_b 4.309
_cell_length_c 15.484
_cell_angle_alpha 90.00
_cell_angle_beta 90.00
_cell_angle_gamma 90.00
_symmetry_space_group_name_H-M 'I 4/m m m'
_symmetry_Int_Tables_number 139
_symmetry_space_group_name_Hall '-I 4 2'
loop_
_atom_site_label
_atom_site_type_symbol
_atom_site_fract_x
_atom_site_fract_y
_atom_site_fract_z
_atom_site_occupancy
Sm1 Sm 0.000 0.000 0.127 1
Y1 Y 0.000 0.000 0.500 1
Se1 Se 0.000 0.000 0.318 1
O1 O 0.000 0.500 0.000 1
```

=====

No. 2
First-principles (PBE-GGA) data for SmYSe2O after structural relaxation, as listed in Alexandria via LeMat-Bulk.

Properties
Uncorrected formation energy: -2.40 eV/atom

```
data_SmYSe2O
_cell_length_a 4.026
_cell_length_b 4.026
_cell_length_c 14.587
_cell_angle_alpha 90.00
_cell_angle_beta 90.00
_cell_angle_gamma 90.00
_symmetry_space_group_name_H-M 'P 4/n m m'
_symmetry_Int_Tables_number 129
loop_
_symmetry_equiv_pos_as_xyz
'x,y,z'
'-x,-y,-z'
'-y+1/2,x,z'
'y+1/2,-x,-z'
'-x+1/2,-y+1/2,z'
'x+1/2,y+1/2,-z'
'y,-x+1/2,z'
'-y,x+1/2,-z'
'x+1/2,-y,-z'
'-x+1/2,y,z'
'-y,-x,-z'
'y,x,z'
'-x,y+1/2,-z'
'x,-y+1/2,z'
'y+1/2,x+1/2,-z'
'-y+1/2,-x+1/2,z'
loop_
_atom_site_label
_atom_site_type_symbol
_atom_site_fract_x
_atom_site_fract_y
_atom_site_fract_z
_atom_site_occupancy
Sm1 Sm 0.250 0.250 0.079 1
Y1 Y 0.250 0.250 0.626 1
Se1 Se 0.250 0.250 0.412 1
Se2 Se 0.250 0.250 0.806 1
O1 O 0.250 0.750 0.000 1
```

=====

No. 3
First-principles (PBE-GGA) data for Sn2SeO after structural relaxation, as listed in Alexandria via LeMat-Bulk.

Properties
E above lowest polymorph: 415.8 meV/atom
Uncorrected formation energy: -0.16 eV/atom

```
data_Sn2SeO
_cell_length_a 6.894
_cell_length_b 6.894
_cell_length_c 6.894
_cell_angle_alpha 90.00
_cell_angle_beta 90.00
_cell_angle_gamma 90.00
_symmetry_space_group_name_H-M 'F m -3 m'
_symmetry_Int_Tables_number 225
_symmetry_space_group_name_Hall '-F 4 2 3'
loop_
_atom_site_label
_atom_site_type_symbol
_atom_site_fract_x
_atom_site_fract_y
_atom_site_fract_z
_atom_site_occupancy
Sn1 Sn 0.250 0.250 0.250 1
Se1 Se 0.000 0.000 0.000 1
O1 O 0.000 0.000 0.500 1
```

=====

No. 4
First-principles (PBE-GGA) data for SnSeO3 after structural relaxation, as listed in Alexandria via LeMat-Bulk.

Properties
Uncorrected formation energy: -0.56 eV/atom

```
data_SnSeO3
_cell_length_a 4.005
_cell_length_b 4.005
_cell_length_c 4.005
_cell_angle_alpha 90.00
_cell_angle_beta 90.00
_cell_angle_gamma 90.00
_symmetry_space_group_name_H-M 'P m -3 m'
_symmetry_Int_Tables_number 221
_symmetry_space_group_name_Hall '-P 4 2 3'
loop_
_atom_site_label
_atom_site_type_symbol
_atom_site_fract_x
_atom_site_fract_y
_atom_site_fract_z
_atom_site_occupancy
Sn1 Sn 0.000 0.000 0.000 1
Se1 Se 0.500 0.500 0.500 1
O1 O 0.000 0.500 0.500 1
```

=====

No. 5
First-principles (PBE-GGA) data for SnSe2O6 after structural relaxation, as listed in Alexandria via LeMat-Bulk.

Properties
E above lowest polymorph: 0.0 meV/atom
Uncorrected formation energy: -1.05 eV/atom

```
data_SnSe2O6
_cell_length_a 8.381
_cell_length_b 8.381
_cell_length_c 8.381
_cell_angle_alpha 90.00
_cell_angle_beta 90.00
_cell_angle_gamma 90.00
_symmetry_space_group_name_H-M 'P a -3'
_symmetry_Int_Tables_number 205
_symmetry_space_group_name_Hall '-P 2ac 2ab 3'
loop_
_atom_site_label
_atom_site_type_symbol
_atom_site_fract_x
_atom_site_fract_y
_atom_site_fract_z
_atom_site_occupancy
Sn1 Sn 0.000 0.000 0.000 1
Se1 Se 0.169 0.669 0.831 1
O1 O 0.035 0.743 0.462 1
```

=====

No. 6
First-principles (PBE-GGA) data for SnSe2O6 after structural relaxation, as listed in Alexandria via LeMat-Bulk.

Properties
E above lowest polymorph: 63.6 meV/atom
Uncorrected formation energy: -0.98 eV/atom

```
data_SnSe2O6
_cell_length_a 5.0340
_cell_length_b 5.0340
_cell_length_c 20.4269
_cell_angle_alpha 90.00
_cell_angle_beta 90.00
_cell_angle_gamma 120.00
_symmetry_space_group_name_H-M 'R 3'
_symmetry_Int_Tables_number 146
_symmetry_space_group_name_Hall 'R 3'
loop_
_atom_site_label
_atom_site_type_symbol
_atom_site_fract_x
_atom_site_fract_y
_atom_site_fract_z
_atom_site_occupancy
Sn1 Sn 0.0000 0.0000 0.0000 1
Se1 Se 0.0000 0.0000 0.2367 1
Se2 Se 0.0000 0.0000 0.4302 1
O1 O 0.0284 0.3414 0.0630 1
O2 O 0.0278 0.6858 0.9373 1
```